Entry 1:
PrNd4Sm3S8: relaxed, PBE-GGA.

**SG**: R-3m (166)
**Crystal system**: trigonal
**Energy relative to the elements, uncorrected**: -46.6 kcal/mol of atoms
**Final energy**: -103.33 eV/cell

Cell and atoms, written as extended XYZ:
```
16
Lattice="4.052 2.339 6.624 -4.052 2.339 6.624 0.000 -4.679 6.624" Properties=species:S:1:pos:R:3 pbc="T T T"
Pr 0.000 0.000 0.000
Nd -4.052 0.000 9.935
Nd -2.026 1.170 3.312
Nd 2.026 1.170 3.312
Nd 0.000 0.000 9.935
Sm -2.026 -1.170 6.624
Sm -2.026 1.170 13.247
Sm 0.000 2.339 6.624
S 0.000 -2.310 8.260
S -2.001 1.155 8.260
S 0.000 0.000 5.007
S -2.001 -1.155 11.611
S 2.001 1.155 8.260
S 0.000 0.000 14.864
S 2.001 -1.155 11.611
S 0.000 2.310 11.611
```



Entry 2:
MnNbIr: relaxed, PBE-GGA.

**SG**: I4mm (107)
**Crystal system**: tetragonal
**Final energy**: -57.46 eV/cell

Cell and atoms, written as extended XYZ:
```
6
Lattice="3.209 0.000 0.000 0.000 3.209 0.000 0.000 0.000 9.028" Properties=species:S:1:pos:R:3 pbc="T T T"
Mn 0.000 0.000 0.000
Mn 1.605 1.605 4.514
Nb 0.000 0.000 6.024
Nb 1.605 1.605 1.510
Ir 0.000 0.000 3.015
Ir 1.605 1.605 7.529
```



Entry 3:
Ho3Se3S: relaxed, PBE-GGA.

**SG**: R3m (160)
**Crystal system**: trigonal
**Energy relative to the elements, uncorrected**: -39.2 kcal/mol of atoms
**Final energy**: -40.21 eV/cell

Cell and atoms, written as extended XYZ:
```
7
Lattice="4.369 2.523 2.486 -4.369 2.523 2.486 0.000 -5.045 2.486" Properties=species:S:1:pos:R:3 pbc="T T T"
Ho -2.128 -1.229 2.486
Ho 2.128 -1.229 2.486
Ho 0.000 2.457 2.486
Se 0.000 -3.047 1.996
Se -2.639 1.523 1.996
Se 2.639 1.523 1.996
S 0.000 0.000 3.829
```



Q: What is the formula in the second record?
A: MnNbIr



Repeat the second record exactly.
MnNbIr: relaxed, PBE-GGA.

**SG**: I4mm (107)
**Crystal system**: tetragonal
**Final energy**: -57.46 eV/cell

Cell and atoms, written as extended XYZ:
```
6
Lattice="3.209 0.000 0.000 0.000 3.209 0.000 0.000 0.000 9.028" Properties=species:S:1:pos:R:3 pbc="T T T"
Mn 0.000 0.000 0.000
Mn 1.605 1.605 4.514
Nb 0.000 0.000 6.024
Nb 1.605 1.605 1.510
Ir 0.000 0.000 3.015
Ir 1.605 1.605 7.529
```



Q: Among the records above, which one has the highest final energy?
A: Ho3Se3S